No. 1
Density functional theory data (GGA-PBEsol) for NaAg3N after structural relaxation.

The structure in POSCAR format:
```
NaAg3N
1.0
4.873 0.000 0.000
0.000 4.873 0.000
0.000 0.000 4.873
Ag Na N
3 1 1
Direct
0.000 0.000 0.500 Ag
0.000 0.500 0.000 Ag
0.500 0.000 0.000 Ag
0.000 0.000 0.000 Na
0.500 0.500 0.500 N
```

Values from the calculation:
Total magnetization, μB per formula unit: 1.92
Formation energy from raw total energies, meV/atom: 1974
Crystal system: cubic
Space-group type: Pm-3m

=====

No. 2
Density functional theory data (GGA-PBEsol) for NaAgSeN2 after structural relaxation.

The structure in POSCAR format:
```
NaAgSeN2
1.0
4.242 0.000 0.000
0.000 4.242 0.000
0.000 0.000 5.512
Na Ag Se N
1 1 1 2
Direct
0.000 0.000 0.000 Na
0.500 0.500 0.500 Ag
0.000 0.000 0.500 Se
0.000 0.500 0.000 N
0.500 0.000 0.000 N
```

Values from the calculation:
Total magnetization, μB per formula unit: 5.51
Formation energy from raw total energies, meV/atom: 1972
Crystal system: tetragonal
Space-group type: P4/mmm